Y2ScPbO | PBE | relaxed

Structure (POSCAR):
```
Y2ScPbO
1.0
4.9221 0.0000 0.0000
0.0000 4.9221 0.0000
0.0000 0.0000 4.3750
Y Sc Pb O
2 1 1 1
direct
0.0000 0.5000 0.0000
0.5000 0.0000 0.0000
0.0000 0.0000 0.5000
0.5000 0.5000 0.5000
0.0000 0.0000 0.0000
```

Values from the calculation:
* formation energy without anion corrections: -1.369 eV/atom
* crystal system: tetragonal
* space group: P4/mmm, No. 123

---

YSc2PbO | PBE | relaxed

Structure (POSCAR):
```
YSc2PbO
1.0
4.4787 0.0000 0.0000
0.0000 4.4787 0.0000
0.0000 0.0000 4.8632
Y Sc Pb O
1 2 1 1
direct
0.0000 0.0000 0.0000
0.0000 0.5000 0.5000
0.5000 0.0000 0.5000
0.5000 0.5000 0.0000
0.0000 0.0000 0.5000
```

Values from the calculation:
* formation energy without anion corrections: -1.353 eV/atom
* crystal system: tetragonal
* space group: P4/mmm, No. 123

---

ZrSc2PbO | PBE | relaxed

Structure (POSCAR):
```
ZrSc2PbO
1.0
4.3942 0.0000 0.0000
0.0000 4.3942 0.0000
0.0000 0.0000 4.7761
Zr Sc Pb O
1 2 1 1
direct
0.0000 0.0000 0.0000
0.0000 0.5000 0.5000
0.5000 0.0000 0.5000
0.5000 0.5000 0.0000
0.0000 0.0000 0.5000
```

Values from the calculation:
* formation energy without anion corrections: -1.241 eV/atom
* crystal system: tetragonal
* space group: P4/mmm, No. 123

---

Pb3SeO | PBE | relaxed

Structure (POSCAR):
```
Pb3SeO
1.0
5.0785 0.0000 0.0000
0.0000 5.0785 0.0000
0.0000 0.0000 5.0785
Pb Se O
3 1 1
direct
0.0000 0.0000 0.5000
0.0000 0.5000 0.0000
0.5000 0.0000 0.0000
0.5000 0.5000 0.5000
0.0000 0.0000 0.0000
```

Values from the calculation:
* formation energy without anion corrections: -0.310 eV/atom
* crystal system: cubic
* space group: Pm-3m, No. 221